Entry from Alexandria: a relaxed structure of La2Se3 (PBEsol).

electronic total energy	-259.8	eV for the cell shown
E_form (uncorrected)	-2.046	eV/atom
total magnetic moment	0.000	Bohr magnetons per cell

Lattice parameters (Å, degrees): 8.945 8.945 14.816 107.57 107.57 90.00
Element x y z (fractional)
La1 0.796 0.675 0.080
La2 0.584 0.084 0.167
La3 0.005 0.375 0.250
La4 0.666 0.666 0.333
La5 0.967 0.075 0.420
La6 0.245 0.875 0.250
La7 0.454 0.345 0.420
La8 0.655 0.033 0.580
La9 0.625 0.755 0.750
La10 0.334 0.334 0.667
La11 0.125 0.995 0.750
La12 0.925 0.546 0.580
La13 0.916 0.416 0.833
La14 0.325 0.717 0.920
La15 0.283 0.405 0.080
La16 0.595 0.204 0.920
Se1 0.281 0.178 0.206
Se2 0.643 0.395 0.135
Se3 0.492 0.740 0.135
Se4 0.758 0.355 0.365
Se5 0.607 0.010 0.365
Se6 0.925 0.028 0.206
Se7 0.325 0.572 0.294
Se8 0.969 0.722 0.294
Se9 0.936 0.846 0.531
Se10 0.315 0.064 0.469
Se11 0.428 0.031 0.706
Se12 0.154 0.405 0.469
Se13 0.278 0.675 0.706
Se14 0.990 0.242 0.635
Se15 0.595 0.685 0.531
Se16 0.645 0.393 0.635
Se17 0.605 0.508 0.865
Se18 0.972 0.719 0.794
Se19 0.096 0.686 0.031
Se20 0.822 0.075 0.794
Se21 0.935 0.345 0.031
Se22 0.260 0.357 0.865
Se23 0.655 0.904 0.969
Se24 0.314 0.065 0.969

=====

Entry from Alexandria: a relaxed structure of RbMnN3 (PBEsol).

electronic total energy	-19.7	eV for the cell shown
E_form (uncorrected)	3.327	eV/atom
total magnetic moment	7.362	Bohr magnetons per cell

Lattice parameters (Å, degrees): 4.374 4.374 4.374 90.00 90.00 90.00
Element x y z (fractional)
Mn1 0.500 0.500 0.500
Rb1 0.000 0.000 0.000
N1 0.000 0.500 0.000
N2 0.000 0.000 0.500
N3 0.500 0.000 0.000

=====

Copy entry 1 word for word.
Entry from Alexandria: a relaxed structure of La2Se3 (PBEsol).

electronic total energy	-259.8	eV for the cell shown
E_form (uncorrected)	-2.046	eV/atom
total magnetic moment	0.000	Bohr magnetons per cell

Lattice parameters (Å, degrees): 8.945 8.945 14.816 107.57 107.57 90.00
Element x y z (fractional)
La1 0.796 0.675 0.080
La2 0.584 0.084 0.167
La3 0.005 0.375 0.250
La4 0.666 0.666 0.333
La5 0.967 0.075 0.420
La6 0.245 0.875 0.250
La7 0.454 0.345 0.420
La8 0.655 0.033 0.580
La9 0.625 0.755 0.750
La10 0.334 0.334 0.667
La11 0.125 0.995 0.750
La12 0.925 0.546 0.580
La13 0.916 0.416 0.833
La14 0.325 0.717 0.920
La15 0.283 0.405 0.080
La16 0.595 0.204 0.920
Se1 0.281 0.178 0.206
Se2 0.643 0.395 0.135
Se3 0.492 0.740 0.135
Se4 0.758 0.355 0.365
Se5 0.607 0.010 0.365
Se6 0.925 0.028 0.206
Se7 0.325 0.572 0.294
Se8 0.969 0.722 0.294
Se9 0.936 0.846 0.531
Se10 0.315 0.064 0.469
Se11 0.428 0.031 0.706
Se12 0.154 0.405 0.469
Se13 0.278 0.675 0.706
Se14 0.990 0.242 0.635
Se15 0.595 0.685 0.531
Se16 0.645 0.393 0.635
Se17 0.605 0.508 0.865
Se18 0.972 0.719 0.794
Se19 0.096 0.686 0.031
Se20 0.822 0.075 0.794
Se21 0.935 0.345 0.031
Se22 0.260 0.357 0.865
Se23 0.655 0.904 0.969
Se24 0.314 0.065 0.969

=====

Repeat the second record exactly.
Entry from Alexandria: a relaxed structure of RbMnN3 (PBEsol).

electronic total energy	-19.7	eV for the cell shown
E_form (uncorrected)	3.327	eV/atom
total magnetic moment	7.362	Bohr magnetons per cell

Lattice parameters (Å, degrees): 4.374 4.374 4.374 90.00 90.00 90.00
Element x y z (fractional)
Mn1 0.500 0.500 0.500
Rb1 0.000 0.000 0.000
N1 0.000 0.500 0.000
N2 0.000 0.000 0.500
N3 0.500 0.000 0.000

=====

Look up the total magnetic moment of the first one.
0.000 Bohr magnetons per cell